A geometry-optimized PmHo2Cd5 structure, computed with PBE.

Output
Theoretical density in Mg/m³: 8.6
ΔH_f (0 K) in eV/atom: -0.311
Space-group type: No. 139
Final energy in eV per atom: -2.62

a b c (Å): 8.3400 8.3400 8.3400
angles (deg): 143.88 143.88 52.01
Closest atoms and distances in Å follow each position.
Fractional positions:
1 Pm 0.0000 0.0000 0.0000  8 Cd 3.18
2 Ho 0.2623 0.2623 0.0000  8 Cd 3.10-3.32
3 Ho 0.7377 0.7377 0.0000  8 Cd 3.10-3.32
4 Cd 0.1232 0.6232 0.5000  4 Ho 3.10-3.32, 2 Pm 3.18, 2 Cd 3.18
5 Cd 0.3768 0.8768 0.5000  4 Ho 3.10-3.32, 2 Cd 3.18, 2 Pm 3.18
6 Cd 0.5000 0.5000 0.0000  8 Cd 3.18
7 Cd 0.6232 0.1232 0.5000  4 Ho 3.10-3.32, 2 Pm 3.18, 2 Cd 3.18
8 Cd 0.8768 0.3768 0.5000  4 Ho 3.10-3.32, 2 Cd 3.18, 2 Pm 3.18